# La2FeHgF PBE with a Hubbard U optimized geometry
# Size of the total moment: 0.541 μB/atom
# E_tot: -3.51 eV/atom
# Density: 5.17 g/cm3
data_La2FeHgF
_cell_length_a 5.975
_cell_length_b 5.975
_cell_length_c 4.980
_cell_angle_alpha 90.00
_cell_angle_beta 90.00
_cell_angle_gamma 90.00
_space_group_name_H-M_alt 'P 4/m m m'
_space_group_IT_number 123
_space_group_name_Hall '-P 4 2'
loop_
_atom_site_label
_atom_site_type_symbol
_atom_site_fract_x
_atom_site_fract_y
_atom_site_fract_z
_atom_site_occupancy
La1 La 0.000 0.500 0.000 1
Fe1 Fe 0.000 0.000 0.500 1
Hg1 Hg 0.000 0.000 0.000 1
F1 F 0.500 0.500 0.500 1